CrNO | PBE with a Hubbard U | optimized geometry

The structure in CIF format:
```
data_CrNO
_space_group_name_H-M_alt 'P -6 m 2'
_space_group_IT_number 187
_space_group_name_Hall 'P -6 2'
_cell_length_a 3.3459
_cell_length_b 3.3459
_cell_length_c 3.6692
_cell_angle_alpha 90.00
_cell_angle_beta 90.00
_cell_angle_gamma 120.00
loop_
_atom_site_label
_atom_site_type_symbol
_atom_site_fract_x
_atom_site_fract_y
_atom_site_fract_z
_atom_site_occupancy
Cr1 Cr 0.0000 0.0000 0.0000 1
N1 N 0.6667 0.3333 0.0000 1
O1 O 0.0000 0.0000 0.5000 1
```

Calculated total energy ... -7.032 eV/atom
Energy relative to the lowest polymorph listed for this composition ... 2.53 eV/f.u.